[1]
DFT (PBE-GGA) results for a geometry-optimized Np2AgF11 structure.

Cell: 8.7732 8.7732 8.7732 Å, 120.37 107.79 100.88°
Element x y z (fractional)
Np (0.1782, 0.1532, 0.3314)
Np (0.3218, 0.6532, 0.9750)
Np (0.6782, 0.3468, 0.0250)
Np (0.8218, 0.8468, 0.6686)
Ag (0.2500, 0.7500, 0.5000)
Ag (0.7500, 0.2500, 0.5000)
F (0.0000, 0.0000, 0.0000)
F (0.0605, 0.8699, 0.6710)
F (0.0623, 0.4525, 0.7835)
F (0.1690, 0.9525, 0.3902)
F (0.1989, 0.3894, 0.3290)
F (0.2137, 0.8583, 0.0720)
F (0.2863, 0.3583, 0.6446)
F (0.3011, 0.6301, 0.1906)
F (0.3310, 0.7212, 0.7835)
F (0.4377, 0.2212, 0.3902)
F (0.4395, 0.1106, 0.8094)
F (0.5000, 0.5000, 0.0000)
F (0.5605, 0.8894, 0.1906)
F (0.5623, 0.7788, 0.6098)
F (0.6690, 0.2788, 0.2165)
F (0.6989, 0.3699, 0.8094)
F (0.7137, 0.6417, 0.3554)
F (0.7863, 0.1417, 0.9280)
F (0.8011, 0.6106, 0.6710)
F (0.8310, 0.0475, 0.6098)
F (0.9377, 0.5475, 0.2165)
F (0.9395, 0.1301, 0.3290)

Calculated values
As for the density of states at the Fermi level: 24.88 states/eV per cell. For the volume, the calculation gives 503.96 Å³ per cell. For the raw formation energy, the calculation gives -3998 kJ/mol of formula units. The calculation puts the calculated total energy at -6.482 eV/atom. For the spin magnetization, the calculation gives 4.0 μB per formula unit.

***

[2]
DFT (PBE-GGA) results for a geometry-optimized Tl3SnBi2Se6 structure.

Cell: 7.3982 7.3982 7.9701 Å, 98.84 98.84 119.99°
Element x y z (fractional)
Tl (0.0000, 0.0000, 0.0000)
Tl (0.3272, 0.6728, 0.0000)
Tl (0.6728, 0.3272, 0.0000)
Sn (0.5000, 0.5000, 0.5000)
Bi (0.1660, 0.8340, 0.5000)
Bi (0.8340, 0.1660, 0.5000)
Se (0.1023, 0.4291, 0.2848)
Se (0.2465, 0.2465, 0.7191)
Se (0.4291, 0.1023, 0.2848)
Se (0.5709, 0.8977, 0.7152)
Se (0.7535, 0.7535, 0.2809)
Se (0.8977, 0.5709, 0.7152)

Calculated values
As for the density of states at the Fermi level: 4.78 states/eV per cell. For the volume, the calculation gives 359.55 Å³ per cell. For the raw formation energy, the calculation gives -494 kJ/mol of formula units. The calculation puts the calculated total energy at -3.741 eV/atom. For the spin magnetization, the calculation gives 0.0 μB per formula unit.

***

[3]
DFT (PBE-GGA) results for a geometry-optimized Y5Cr structure.

Cell: 6.3998 6.3998 8.4130 Å, 110.51 110.51 33.62°
Element x y z (fractional)
Y (0.0000, 0.0000, 0.0000)
Y (0.3317, 0.3317, 0.2032)
Y (0.3612, 0.3612, 0.6350)
Y (0.6388, 0.6388, 0.3650)
Y (0.6683, 0.6683, 0.7968)
Cr (0.0000, 0.0000, 0.5000)

Calculated values
As for the density of states at the Fermi level: 8.31 states/eV per cell. For the volume, the calculation gives 177.56 Å³ per cell. The calculation puts the formation energy at 86 kJ/mol of formula units. The calculation puts the calculated total energy at -6.842 eV/atom. For the spin magnetization, the calculation gives 3.3 μB per formula unit.

***

[4]
DFT (PBE-GGA) results for a geometry-optimized Pr2YCd2 structure.

Cell: 3.7970 5.4271 14.4573 Å, 90.00 97.54 90.00°
Element x y z (fractional)
Pr (0.0440, 0.2500, 0.0866)
Pr (0.2330, 0.2500, 0.4680)
Pr (0.7670, 0.7500, 0.5320)
Pr (0.9560, 0.7500, 0.9134)
Y (0.1493, 0.7500, 0.2973)
Y (0.8507, 0.2500, 0.7027)
Cd (0.3618, 0.7500, 0.7234)
Cd (0.4417, 0.2500, 0.8845)
Cd (0.5583, 0.7500, 0.1155)
Cd (0.6382, 0.2500, 0.2766)

Calculated values
As for the density of states at the Fermi level: 11.12 states/eV per cell. For the volume, the calculation gives 295.34 Å³ per cell. The calculation puts the formation energy at -123 kJ/mol of formula units. The calculation puts the calculated total energy at -3.826 eV/atom. For the spin magnetization, the calculation gives 0.1 μB per formula unit.

***

[5]
DFT (PBE-GGA) results for a geometry-optimized B2C structure.

Cell: 8.5664 8.5664 4.8393 Å, 105.21 105.21 18.10°
Element x y z (fractional)
B (0.0000, 0.0000, 0.0000)
B (0.2325, 0.2325, 0.1840)
B (0.3373, 0.3373, 0.9271)
B (0.4811, 0.4811, 0.7709)
B (0.5003, 0.5003, 0.4572)
B (0.7310, 0.7310, 0.6806)
B (0.8404, 0.8404, 0.5022)
B (0.8936, 0.8936, 0.1852)
C (0.2395, 0.2395, 0.8621)
C (0.3831, 0.3831, 0.6501)
C (0.7399, 0.7399, 0.3625)
C (0.9908, 0.9908, 0.3006)

Calculated values
As for the density of states at the Fermi level: 2.36 states/eV per cell. For the volume, the calculation gives 106.37 Å³ per cell. The calculation puts the formation energy at 102 kJ/mol of formula units. The calculation puts the calculated total energy at -7.173 eV/atom. For the spin magnetization, the calculation gives 0.0 μB per formula unit.

***

[6]
DFT (PBE-GGA) results for a geometry-optimized Hf3WBr structure.

Cell: 5.1381 5.1381 5.1381 Å, 90.00 90.00 90.00°
Element x y z (fractional)
Hf (0.0000, 0.0000, 0.5000)
Hf (0.0000, 0.5000, 0.0000)
Hf (0.5000, 0.0000, 0.0000)
W (0.0000, 0.0000, 0.0000)
Br (0.5000, 0.5000, 0.5000)

Calculated values
As for the density of states at the Fermi level: 10.53 states/eV per cell. For the volume, the calculation gives 135.65 Å³ per cell. For the raw formation energy, the calculation gives 440 kJ/mol of formula units. The calculation puts the calculated total energy at -7.985 eV/atom. For the spin magnetization, the calculation gives 0.0 μB per formula unit.